# 1
This record from Alexandria describes a relaxed structure of Ta3ReNi. The functional is GGA-PBE.

Lattice parameters (Å, degrees): 4.527 4.527 4.527 90.00 90.00 90.00
Space group Pm-3m (No. 221)
Symmetry-distinct sites (fractional):
Ta: 0.000 0.000 0.500 (multiplicity 3)
Re: 0.500 0.500 0.500 (multiplicity 1)
Ni: 0.000 0.000 0.000 (multiplicity 1)

excess energy over the best structure of this formula in the dataset = 0.0 meV per atom
ΔH_f (0 K) = 1.056 eV/atom
calculated volume = 18.56 Å³ per atom

# 2
This record from Alexandria describes a relaxed structure of BaSi3Pd3. The functional is GGA-PBE.

Lattice parameters (Å, degrees): 6.7812 6.7812 22.9167 90.00 90.00 120.00
Space group R-3 (No. 148, hexagonal axes)
Symmetry-distinct sites (fractional):
Ba: 0.0000 0.0000 0.1670 (multiplicity 6)
Si: 0.0087 0.5982 0.6224 (multiplicity 18)
Pd: 0.0028 0.7531 0.3935 (multiplicity 18)

excess energy over the best structure of this formula in the dataset = 99.6 meV per atom
raw formation energy = -0.401 eV per atom
calculated volume = 21.73 Å³ per atom

# 3
This record from Alexandria describes a relaxed structure of NdAlMo. The functional is GGA-PBE.

Lattice parameters (Å, degrees): 6.9805 6.9805 4.8502 90.00 90.00 120.00
Space group P-62m (No. 189)
Symmetry-distinct sites (fractional):
Nd: 0.0000 0.4421 0.0000 (multiplicity 3)
Al: 0.0000 0.0000 0.0000 (multiplicity 1)
Al: 0.3333 0.6667 0.5000 (multiplicity 2)
Mo: 0.0000 0.7961 0.5000 (multiplicity 3)

ΔH_f (0 K) = 0.037 eV/atom
calculated volume = 22.74 Å³ per atom

# 4
This record from Alexandria describes a relaxed structure of Sr3GeBr3. The functional is GGA-PBE.

Lattice parameters (Å, degrees): 12.755 12.755 12.755 90.00 90.00 90.00
Space group I4_132 (No. 214)
Symmetry-distinct sites (fractional):
Sr: 0.123 0.373 0.125 (multiplicity 24)
Ge: 0.125 0.125 0.125 (multiplicity 8)
Br: 0.124 0.375 0.374 (multiplicity 24)

raw formation energy = -1.517 eV per atom
calculated volume = 37.05 Å³ per atom

# 5
This record from Alexandria describes a relaxed structure of Mn2OsBr. The functional is GGA-PBE.

Lattice parameters (Å, degrees): 5.636 7.524 2.965 90.00 90.00 90.00
Space group Cmmm (No. 65)
Symmetry-distinct sites (fractional):
Mn: 0.250 0.250 0.000 (multiplicity 4)
Os: 0.000 0.000 0.500 (multiplicity 2)
Br: 0.000 0.500 0.500 (multiplicity 2)

excess energy over the best structure of this formula in the dataset = 428.9 meV per atom
raw formation energy = 0.733 eV per atom
calculated volume = 15.71 Å³ per atom

# 6
This record from Alexandria describes a relaxed structure of LiPdN. The functional is GGA-PBE.

Lattice parameters (Å, degrees): 2.748 3.830 3.935 78.93 69.84 69.37
Space group P1 (No. 1)
Symmetry-distinct sites (fractional):
Li: 0.000 0.000 0.000 (multiplicity 1)
Pd: 0.525 0.494 0.471 (multiplicity 1)
N: 0.249 0.072 0.430 (multiplicity 1)

excess energy over the best structure of this formula in the dataset = 368.6 meV per atom
raw formation energy = 0.139 eV per atom
calculated volume = 12.09 Å³ per atom

# 7
This record from Alexandria describes a relaxed structure of InCoRe2. The functional is GGA-PBE.

Lattice parameters (Å, degrees): 5.184 8.430 2.809 90.00 90.00 90.00
Space group Cmmm (No. 65)
Symmetry-distinct sites (fractional):
In: 0.000 0.000 0.000 (multiplicity 2)
Co: 0.000 0.500 0.000 (multiplicity 2)
Re: 0.250 0.250 0.500 (multiplicity 4)

ΔH_f (0 K) = 0.606 eV/atom
calculated volume = 15.35 Å³ per atom

# 8
This record from Alexandria describes a relaxed structure of MgSi. The functional is GGA-PBE.

Lattice parameters (Å, degrees): 4.638 5.082 10.428 86.66 80.08 85.99
Space group P1 (No. 1)
Symmetry-distinct sites (fractional):
Mg: 0.000 0.000 0.000 (multiplicity 1)
Mg: 0.085 0.115 0.422 (multiplicity 1)
Mg: 0.434 0.883 0.632 (multiplicity 1)
Mg: 0.546 0.505 0.057 (multiplicity 1)
Mg: 0.667 0.312 0.770 (multiplicity 1)
Mg: 0.882 0.719 0.275 (multiplicity 1)
Si: 0.109 0.499 0.903 (multiplicity 1)
Si: 0.422 0.986 0.165 (multiplicity 1)
Si: 0.483 0.389 0.518 (multiplicity 1)
Si: 0.640 0.252 0.296 (multiplicity 1)
Si: 0.900 0.798 0.749 (multiplicity 1)
Si: 0.991 0.609 0.533 (multiplicity 1)

raw formation energy = 0.074 eV per atom
calculated volume = 20.10 Å³ per atom